# SmNpSb2 (GGA-PBE, optimized geometry)
# ρ = 8.49 g cm⁻³
# crystal system = trigonal
# VASP energy = -7.15 eV/atom
# polymorph energy (0 for the lowest one) = 1.4 meV/atom
data_SmNpSb2
_cell_length_a 4.4206
_cell_length_b 4.4206
_cell_length_c 21.8618
_cell_angle_alpha 90.00
_cell_angle_beta 90.00
_cell_angle_gamma 120.00
_symmetry_space_group_name_H-M 'R -3 m'
_symmetry_Int_Tables_number 166
_symmetry_space_group_name_Hall '-R 3 2"'
loop_
_atom_site_label
_atom_site_type_symbol
_atom_site_fract_x
_atom_site_fract_y
_atom_site_fract_z
Sm1 Sm 0.0000 0.0000 0.0000
Np1 Np 0.0000 0.0000 0.5000
Sb1 Sb 0.0000 0.0000 0.2482


# Sm2NpSb3 (GGA-PBE, optimized geometry)
# ρ = 8.04 g cm⁻³
# crystal system = monoclinic
# VASP energy = -6.63 eV/atom
data_Sm2NpSb3
_cell_length_a 7.694
_cell_length_b 13.334
_cell_length_c 7.712
_cell_angle_alpha 90.00
_cell_angle_beta 109.42
_cell_angle_gamma 90.00
_symmetry_space_group_name_H-M 'C 1 2/m 1'
_symmetry_Int_Tables_number 12
loop_
_symmetry_equiv_pos_as_xyz
'x,y,z'
'-x,-y,-z'
'-x,y,-z'
'x,-y,z'
'x+1/2,y+1/2,z'
'-x+1/2,-y+1/2,-z'
'-x+1/2,y+1/2,-z'
'x+1/2,-y+1/2,z'
loop_
_atom_site_label
_atom_site_type_symbol
_atom_site_fract_x
_atom_site_fract_y
_atom_site_fract_z
Sm1 Sm 0.000 0.000 0.000
Sm2 Sm 0.000 0.165 0.500
Sm3 Sm 0.000 0.500 0.500
Np1 Np 0.000 0.333 0.000
Sb1 Sb 0.245 0.500 0.246
Sb2 Sb 0.249 0.331 0.754


# SmNpSb2 (GGA-PBE, optimized geometry)
# ρ = 9.65 g cm⁻³
# crystal system = tetragonal
# VASP energy = -7.00 eV/atom
# polymorph energy (0 for the lowest one) = 153.8 meV/atom
data_SmNpSb2
_cell_length_a 5.752
_cell_length_b 5.752
_cell_length_c 3.281
_cell_angle_alpha 90.00
_cell_angle_beta 90.00
_cell_angle_gamma 90.00
_symmetry_space_group_name_H-M 'P 4/m m m'
_symmetry_Int_Tables_number 123
_symmetry_space_group_name_Hall '-P 4 2'
loop_
_atom_site_label
_atom_site_type_symbol
_atom_site_fract_x
_atom_site_fract_y
_atom_site_fract_z
Sm1 Sm 0.000 0.000 0.000
Np1 Np 0.500 0.500 0.000
Sb1 Sb 0.000 0.500 0.500


# Sm4NpSb5 (GGA-PBE, optimized geometry)
# ρ = 7.68 g cm⁻³
# crystal system = orthorhombic
# VASP energy = -6.22 eV/atom
data_Sm4NpSb5
_cell_length_a 4.457
_cell_length_b 6.298
_cell_length_c 22.307
_cell_angle_alpha 90.00
_cell_angle_beta 90.00
_cell_angle_gamma 90.00
_symmetry_space_group_name_H-M 'I m m m'
_symmetry_Int_Tables_number 71
_symmetry_space_group_name_Hall '-I 2 2'
loop_
_atom_site_label
_atom_site_type_symbol
_atom_site_fract_x
_atom_site_fract_y
_atom_site_fract_z
Sm1 Sm 0.000 0.000 0.101
Sm2 Sm 0.000 0.000 0.300
Np1 Np 0.000 0.000 0.500
Sb1 Sb 0.000 0.500 0.098
Sb2 Sb 0.000 0.500 0.300
Sb3 Sb 0.000 0.500 0.500


# TbSmNp2Sb4 (GGA-PBE, optimized geometry)
# ρ = 8.65 g cm⁻³
# crystal system = monoclinic
# VASP energy = -7.14 eV/atom
data_TbSmNp2Sb4
_cell_length_a 7.624
_cell_length_b 4.406
_cell_length_c 7.691
_cell_angle_alpha 90.00
_cell_angle_beta 109.32
_cell_angle_gamma 90.00
_symmetry_space_group_name_H-M 'P 1 2/m 1'
_symmetry_Int_Tables_number 10
loop_
_symmetry_equiv_pos_as_xyz
'x,y,z'
'-x,-y,-z'
'-x,y,-z'
'x,-y,z'
loop_
_atom_site_label
_atom_site_type_symbol
_atom_site_fract_x
_atom_site_fract_y
_atom_site_fract_z
Tb1 Tb 0.000 0.000 0.000
Sm1 Sm 0.500 0.500 0.000
Np1 Np 0.000 0.500 0.500
Np2 Np 0.500 0.000 0.500
Sb1 Sb 0.247 0.000 0.746
Sb2 Sb 0.249 0.500 0.252


# Np2SnSb (GGA-PBE, optimized geometry)
# ρ = 11.63 g cm⁻³
# crystal system = tetragonal
# VASP energy = -8.58 eV/atom
# polymorph energy (0 for the lowest one) = 0.0 meV/atom
data_Np2SnSb
_cell_length_a 3.396
_cell_length_b 3.396
_cell_length_c 8.845
_cell_angle_alpha 90.00
_cell_angle_beta 90.00
_cell_angle_gamma 90.00
_symmetry_space_group_name_H-M 'P 4/m m m'
_symmetry_Int_Tables_number 123
_symmetry_space_group_name_Hall '-P 4 2'
loop_
_atom_site_label
_atom_site_type_symbol
_atom_site_fract_x
_atom_site_fract_y
_atom_site_fract_z
Np1 Np 0.000 0.000 0.244
Sn1 Sn 0.500 0.500 0.500
Sb1 Sb 0.500 0.500 0.000


no.,magnetic moment (μB per formula unit)
1,3.92
2,3.88
3,4.63
4,3.78
5,7.87
6,9.23